! meta-GGA SCAN MgSiPt2, single point on PBEsol structure; values from VASP
! SG: Imm2, No. 44
! N(E_F): 0.818 states/eV/cell
! E_form (uncorrected): -0.750 eV per atom
&SYSTEM
  ibrav = 0, nat = 4, ntyp = 3
/
ATOMIC_SPECIES
Pt 195.08 Pt.upf
Mg 24.30 Mg.upf
Si 28.09 Si.upf
CELL_PARAMETERS angstrom
-1.928 0.947 -2.582
0.522 -3.569 -1.699
-2.882 -0.220 4.256
ATOMIC_POSITIONS crystal
Pt 0.011 0.011 0.022
Pt 0.777 0.277 0.554
Mg 0.237 0.737 0.475
Si 0.475 0.475 0.949


! meta-GGA SCAN MgSiPt2, single point on PBEsol structure; values from VASP
! SG: P4/mmm, No. 123
! N(E_F): 1.485 states/eV/cell
! E_form (uncorrected): -0.775 eV per atom
&SYSTEM
  ibrav = 0, nat = 4, ntyp = 3
/
ATOMIC_SPECIES
Si 28.09 Si.upf
Pt 195.08 Pt.upf
Mg 24.30 Mg.upf
CELL_PARAMETERS angstrom
-0.958 -1.194 2.538
2.758 0.086 1.082
-1.170 6.232 2.491
ATOMIC_POSITIONS crystal
Si 0.500 0.500 0.000
Pt 0.000 0.000 0.209
Pt 0.000 0.000 0.791
Mg 0.500 0.500 0.500


! meta-GGA SCAN MgSiPt, single point on PBEsol structure; values from VASP
! SG: I4mm, No. 107
! N(E_F): 0.794 states/eV/cell
! E_form (uncorrected): -0.578 eV per atom
&SYSTEM
  ibrav = 0, nat = 3, ntyp = 3
/
ATOMIC_SPECIES
Pt 195.08 Pt.upf
Si 28.09 Si.upf
Mg 24.30 Mg.upf
CELL_PARAMETERS angstrom
-2.042 1.795 -1.862
-0.194 -2.472 -2.170
-2.358 -1.325 4.223
ATOMIC_POSITIONS crystal
Pt 0.697 0.697 0.394
Si 0.303 0.303 0.606
Mg 0.000 0.000 0.000


! meta-GGA SCAN Mg5Si16Pt10, single point on PBEsol structure; values from VASP
! SG: F-43m, No. 216
! N(E_F): 3.835 states/eV/cell
! E_form (uncorrected): -0.718 eV per atom
&SYSTEM
  ibrav = 0, nat = 31, ntyp = 3
/
ATOMIC_SPECIES
Pt 195.08 Pt.upf
Mg 24.30 Mg.upf
Si 28.09 Si.upf
CELL_PARAMETERS angstrom
8.890 0.000 0.000
4.445 7.699 0.000
4.445 2.566 7.258
ATOMIC_POSITIONS crystal
Pt 0.267 0.733 0.733
Mg 0.656 0.656 0.033
Si 0.323 0.589 0.044
Si 0.044 0.589 0.044
Pt 0.733 0.733 0.267
Si 0.427 0.720 0.427
Mg 0.000 0.000 0.000
Pt 0.380 0.873 0.873
Si 0.720 0.427 0.427
Si 0.427 0.427 0.720
Si 0.589 0.323 0.044
Pt 0.267 0.733 0.267
Pt 0.267 0.267 0.733
Pt 0.733 0.267 0.733
Pt 0.873 0.873 0.873
Si 0.323 0.044 0.589
Mg 0.033 0.656 0.656
Si 0.323 0.044 0.044
Si 0.427 0.427 0.427
Si 0.044 0.323 0.044
Si 0.044 0.044 0.589
Si 0.044 0.589 0.323
Pt 0.873 0.873 0.380
Si 0.044 0.044 0.323
Mg 0.656 0.033 0.656
Pt 0.873 0.380 0.873
Si 0.589 0.044 0.323
Si 0.044 0.323 0.589
Mg 0.656 0.656 0.656
Si 0.589 0.044 0.044
Pt 0.733 0.267 0.267


! meta-GGA SCAN MgSiPt2, single point on PBEsol structure; values from VASP
! SG: Immm, No. 71
! N(E_F): 1.085 states/eV/cell
! E_form (uncorrected): -0.785 eV per atom
&SYSTEM
  ibrav = 0, nat = 4, ntyp = 3
/
ATOMIC_SPECIES
Pt 195.08 Pt.upf
Mg 24.30 Mg.upf
Si 28.09 Si.upf
CELL_PARAMETERS angstrom
-1.389 1.571 3.094
-0.182 -3.894 1.895
4.192 1.631 -1.204
ATOMIC_POSITIONS crystal
Pt 0.211 0.211 0.422
Pt 0.789 0.789 0.578
Mg 0.000 0.500 0.000
Si 0.500 0.000 0.000


! meta-GGA SCAN Sm4MgPt, single point on PBEsol structure; values from VASP
! SG: F-43m, No. 216
! N(E_F): 15.765 states/eV/cell
&SYSTEM
  ibrav = 0, nat = 24, ntyp = 3
/
ATOMIC_SPECIES
Sm 150.36 Sm.upf
Mg 24.30 Mg.upf
Pt 195.08 Pt.upf
CELL_PARAMETERS angstrom
-0.690 9.774 0.460
-0.020 4.511 8.710
7.746 5.338 2.776
ATOMIC_POSITIONS crystal
Sm 0.940 0.560 0.560
Mg 0.489 0.170 0.170
Sm 0.795 0.402 0.402
Pt 0.607 0.178 0.607
Sm 0.402 0.402 0.402
Sm 0.940 0.940 0.560
Sm 0.940 0.560 0.940
Sm 0.402 0.795 0.402
Mg 0.170 0.170 0.489
Sm 0.815 0.815 0.185
Pt 0.607 0.607 0.607
Sm 0.815 0.185 0.815
Sm 0.560 0.940 0.560
Sm 0.560 0.560 0.940
Pt 0.607 0.607 0.178
Sm 0.185 0.815 0.815
Sm 0.185 0.815 0.185
Pt 0.178 0.607 0.607
Sm 0.185 0.185 0.815
Sm 0.815 0.185 0.185
Mg 0.170 0.170 0.170
Mg 0.170 0.489 0.170
Sm 0.402 0.402 0.795
Sm 0.560 0.940 0.940


! meta-GGA SCAN SmMgPt, single point on PBEsol structure; values from VASP
! SG: P-62m, No. 189
! N(E_F): 6.480 states/eV/cell
&SYSTEM
  ibrav = 0, nat = 9, ntyp = 3
/
ATOMIC_SPECIES
Mg 24.30 Mg.upf
Pt 195.08 Pt.upf
Sm 150.36 Sm.upf
CELL_PARAMETERS angstrom
-2.756 2.633 1.420
-1.666 -4.694 5.470
5.318 5.053 0.954
ATOMIC_POSITIONS crystal
Mg 0.500 0.243 0.243
Pt 0.500 0.667 0.333
Pt 0.000 0.000 0.000
Mg 0.500 0.000 0.757
Mg 0.500 0.757 0.000
Sm 0.000 0.411 0.000
Pt 0.500 0.333 0.667
Sm 0.000 0.000 0.411
Sm 0.000 0.589 0.589


! meta-GGA SCAN Sr2MgPt, single point on PBEsol structure; values from VASP
! SG: Amm2, No. 38
! N(E_F): 2.267 states/eV/cell
&SYSTEM
  ibrav = 0, nat = 4, ntyp = 3
/
ATOMIC_SPECIES
Mg 24.30 Mg.upf
Pt 195.08 Pt.upf
Sr 87.62 Sr.upf
CELL_PARAMETERS angstrom
-2.228 3.706 -1.201
-2.770 -2.534 -2.683
-2.288 0.518 5.841
ATOMIC_POSITIONS crystal
Mg 0.000 0.805 0.610
Pt 0.500 0.690 0.379
Sr 0.000 0.111 0.222
Sr 0.500 0.397 0.794


| no. | magnetic moment (μB per atom) | DFT total energy (eV/atom) | V (Å³/atom) |
| --- | --- | --- | --- |
| 1 | 0.0000 | -39.594 | 14.850 |
| 2 | 0.0000 | -39.619 | 14.960 |
| 3 | 0.0000 | -28.972 | 16.072 |
| 4 | 0.0000 | -29.333 | 16.025 |
| 5 | 0.0000 | -39.629 | 14.878 |
| 6 | 0.0001 | -42.749 | 27.803 |
| 7 | 0.0000 | -40.986 | 21.419 |
| 8 | 0.0000 | -30.492 | 30.318 |